# Sr3LaZnRuO8 | Alexandria | PBEsol | optimized geometry
data_Sr3LaZnRuO8
_chemical_formula_sum 'Sr3 La1 Zn1 Ru1 O8'
_symmetry_space_group_name_H-M 'P 1'
_symmetry_Int_Tables_number 1
_cell_length_a 5.5219
_cell_length_b 5.5402
_cell_length_c 6.8234
_cell_angle_alpha 90.00
_cell_angle_beta 113.87
_cell_angle_gamma 90.00
loop_
_symmetry_equiv_pos_as_xyz
'x,y,z'
loop_
_atom_site_label
_atom_site_type_symbol
_atom_site_fract_x
_atom_site_fract_y
_atom_site_fract_z
Sr1 Sr 0.8562 0.5000 0.7125
Sr2 Sr 0.3587 0.0000 0.7173
Sr3 Sr 0.6434 0.0000 0.2867
La1 La 0.1420 0.5000 0.2841
Zn1 Zn 0.4985 0.5000 0.9971
Ru1 Ru 0.9987 0.0000 0.9974
O1 O 0.7601 0.7540 0.0049
O2 O 0.2448 0.2460 0.0049
O3 O 0.7601 0.2460 0.0049
O4 O 0.2448 0.7540 0.0049
O5 O 0.1616 0.0000 0.3232
O6 O 0.6677 0.5000 0.3353
O7 O 0.3223 0.5000 0.6446
O8 O 0.8411 0.0000 0.6823
# - space-group type = Amm2, No. 38
# - raw formation energy (eV per atom) = -2.35